[1]
The following is a GGA-PBEsol calculation of a relaxed La3Mg crystal, from Alexandria.

a b c (Å): 3.5748 3.5748 11.7052
angles (deg): 81.22 81.22 60.00
Closest atoms and distances in Å follow each position.
Atoms (fractional coordinates):
Mg 0.0000 0.0000 0.0000  6 La 3.49, 6 Mg 3.57
La 0.5000 0.5000 0.5000  12 La 3.57-3.60
La 0.7480 0.7480 0.7559  3 Mg 3.49, 9 La 3.57-3.60
La 0.2520 0.2520 0.2441  3 Mg 3.49, 9 La 3.57-3.60

Output
formation energy	0.02	eV per atom
uncorrected energy	-4.422	eV/atom
space group	R-3m
magnetization	0.00	μB/cell


[2]
The following is a GGA-PBEsol calculation of a relaxed FeNiIr2 crystal, from Alexandria.

a b c (Å): 2.6531 4.4068 4.5338
angles (deg): 100.09 107.00 90.01
Closest atoms and distances in Å follow each position.
Atoms (fractional coordinates):
Fe 0.7505 0.2562 0.5007  7 Ir 2.55-2.62, 3 Ni 2.58-2.59, 2 Fe 2.65
Ir 0.2503 0.7497 0.5005  4 Fe 2.55-2.60, 5 Ir 2.60-2.65, 3 Ni 2.61-2.63
Ir 0.0007 0.0007 0.0015  4 Ni 2.55-2.60, 5 Ir 2.60-2.65, 3 Fe 2.61-2.62
Ni 0.4986 0.4934 0.9971  7 Ir 2.55-2.63, 3 Fe 2.58-2.59, 2 Ni 2.65

Output
formation energy	0.00	eV per atom
uncorrected energy	-8.693	eV/atom
space group	Cm
magnetization	2.29	μB/cell


[3]
The following is a GGA-PBEsol calculation of a relaxed HfCoCuNi2 crystal, from Alexandria.

a b c (Å): 4.3370 4.4469 4.4469
angles (deg): 90.00 90.00 90.00
Closest atoms and distances in Å follow each position.
Atoms (fractional coordinates):
Hf 0.0000 0.0000 0.0000  2 Co 2.17, 4 Ni 2.22
Ni 0.0000 0.5000 0.0000  2 Hf 2.22
Ni 0.0000 0.0000 0.5000  2 Hf 2.22
Cu 0.5000 0.5000 0.5000  8 Ni 3.11, 4 Co 3.14
Co 0.5000 0.0000 0.0000  2 Hf 2.17

Output
formation energy	1.45	eV per atom
uncorrected energy	-5.528	eV/atom
space group	P4/mmm
magnetization	0.00	μB/cell


[4]
The following is a GGA-PBEsol calculation of a relaxed BaSr2Pb crystal, from Alexandria.

a b c (Å): 6.0912 6.0912 6.0912
angles (deg): 60.00 60.00 60.00
Closest atoms and distances in Å follow each position.
Atoms (fractional coordinates):
Pb 0.2500 0.2500 0.2500  4 Ba 3.73, 4 Sr 3.73
Ba 0.5000 0.5000 0.5000  4 Sr 3.73, 4 Pb 3.73
Sr 0.0000 0.0000 0.0000  4 Pb 3.73, 4 Sr 3.73
Sr 0.7500 0.7500 0.7500  4 Ba 3.73, 4 Sr 3.73

Output
formation energy	-0.23	eV per atom
uncorrected energy	-2.690	eV/atom
space group	F-43m
magnetization	0.00	μB/cell


[5]
The following is a GGA-PBEsol calculation of a relaxed Be2NiW crystal, from Alexandria.

a b c (Å): 2.6226 3.9847 4.7040
angles (deg): 115.06 106.19 90.00
Closest atoms and distances in Å follow each position.
Atoms (fractional coordinates):
Be 0.0236 0.0236 0.0472  2 Be 2.22, 4 Ni 2.41
Be 0.7446 0.2446 0.4891  2 Be 2.22, 2 Ni 2.30, 4 W 2.39
Ni 0.4781 0.4781 0.9563  6 Be 2.30-2.41
W 0.2537 0.7537 0.5073  6 Be 2.39-2.55, 2 Ni 2.59, 2 W 2.62

Output
formation energy	0.07	eV per atom
uncorrected energy	-6.922	eV/atom
space group	Imm2
magnetization	0.00	μB/cell


[6]
The following is a GGA-PBEsol calculation of a relaxed Y2MgNi2 crystal, from Alexandria.

a b c (Å): 3.4120 3.4120 9.4730
angles (deg): 100.38 100.38 90.00
Closest atoms and distances in Å follow each position.
Atoms (fractional coordinates):
Mg 0.0000 0.0000 0.0000  4 Mg 3.41, 8 Y 3.45
Ni 0.7500 0.2500 0.5000  4 Ni 2.41
Ni 0.2500 0.7500 0.5000  4 Ni 2.41
Y 0.6344 0.6344 0.2688  4 Ni 2.72
Y 0.3656 0.3656 0.7312  4 Ni 2.72

Output
formation energy	-0.06	eV per atom
uncorrected energy	-5.593	eV/atom
space group	I4/mmm
magnetization	0.00	μB/cell


[7]
The following is a GGA-PBEsol calculation of a relaxed ReBiOF2 crystal, from Alexandria.

a b c (Å): 3.7295 4.4402 4.4402
angles (deg): 90.00 90.00 90.00
Closest atoms and distances in Å follow each position.
Atoms (fractional coordinates):
F 0.0000 0.5000 0.0000  2 Re 2.22
F 0.0000 0.0000 0.5000  2 Re 2.22
Re 0.0000 0.0000 0.0000  2 O 1.86
O 0.5000 0.0000 0.0000  2 Re 1.86
Bi 0.5000 0.5000 0.5000  8 F 2.90, 4 O 3.14

Output
E_form (uncorrected)	-0.71	eV per atom
uncorrected energy	-6.054	eV/atom
space group	P4/mmm
magnetization	0.00	μB/cell


[8]
The following is a GGA-PBEsol calculation of a relaxed LiCoW3 crystal, from Alexandria.

a b c (Å): 4.1016 4.1016 4.1016
angles (deg): 90.00 90.00 90.00
Closest atoms and distances in Å follow each position.
Atoms (fractional coordinates):
W 0.0000 0.0000 0.5000  2 Li 2.05
W 0.5000 0.0000 0.0000  2 Li 2.05
W 0.0000 0.5000 0.0000  2 Li 2.05
Co 0.5000 0.5000 0.5000  12 W 2.90
Li 0.0000 0.0000 0.0000  6 W 2.05

Output
formation energy	1.60	eV per atom
uncorrected energy	-8.625	eV/atom
space group	Pm-3m
magnetization	0.09	μB/cell


[9]
The following is a GGA-PBEsol calculation of a relaxed Al2ZnPtW crystal, from Alexandria.

a b c (Å): 4.6874 4.7209 4.7209
angles (deg): 90.00 90.00 90.00
Closest atoms and distances in Å follow each position.
Atoms (fractional coordinates):
Pt 0.5000 0.5000 0.5000  8 Al 3.33, 4 Zn 3.34
Zn 0.5000 0.0000 0.0000  2 W 2.34
W 0.0000 0.0000 0.0000  2 Zn 2.34, 4 Al 2.36
Al 0.0000 0.5000 0.0000  2 W 2.36
Al 0.0000 0.0000 0.5000  2 W 2.36

Output
formation energy	1.35	eV per atom
uncorrected energy	-4.757	eV/atom
space group	P4/mmm
magnetization	0.00	μB/cell


[10]
The following is a GGA-PBEsol calculation of a relaxed CaMoPd2Ru crystal, from Alexandria.

a b c (Å): 4.5214 4.8285 4.8285
angles (deg): 90.00 90.00 90.00
Closest atoms and distances in Å follow each position.
Atoms (fractional coordinates):
Mo 0.0000 0.0000 0.0000  2 Ru 2.26, 4 Pd 2.41
Ca 0.5000 0.5000 0.5000  8 Pd 3.31, 4 Ru 3.41
Pd 0.0000 0.0000 0.5000  2 Mo 2.41
Pd 0.0000 0.5000 0.0000  2 Mo 2.41
Ru 0.5000 0.0000 0.0000  2 Mo 2.26

Output
formation energy	0.61	eV per atom
uncorrected energy	-6.588	eV/atom
space group	P4/mmm
magnetization	0.00	μB/cell


[11]
The following is a GGA-PBEsol calculation of a relaxed Mg2CdSe crystal, from Alexandria.

a b c (Å): 3.6150 3.9377 6.7565
angles (deg): 106.94 105.52 90.00
Closest atoms and distances in Å follow each position.
Atoms (fractional coordinates):
Se 0.4659 0.9659 0.9318  6 Mg 2.78-2.79
Cd 0.2086 0.2086 0.4171  6 Mg 2.88-2.97
Mg 0.0298 0.5298 0.0595  4 Se 2.79, 2 Cd 2.97
Mg 0.7958 0.7958 0.5916  2 Se 2.78, 4 Cd 2.88

Output
E_form (uncorrected)	-0.42	eV per atom
uncorrected energy	-2.543	eV/atom
space group	Imm2
magnetization	0.00	μB/cell


[12]
The following is a GGA-PBEsol calculation of a relaxed TiNb3S6 crystal, from Alexandria.

a b c (Å): 5.7259 5.7259 12.3338
angles (deg): 90.00 90.00 120.00
Closest atoms and distances in Å follow each position.
Atoms (fractional coordinates):
S 0.3322 0.3321 0.6283  1 Ti 2.43, 3 Nb 2.47-2.50
S 0.3321 0.9999 0.1283  1 Ti 2.43, 3 Nb 2.47-2.50
S 0.9999 0.6678 0.6283  1 Ti 2.43, 3 Nb 2.47-2.50
S 0.6679 0.0001 0.6283  1 Ti 2.43, 3 Nb 2.47-2.50
S 0.6678 0.9999 0.3717  1 Ti 2.43, 3 Nb 2.47-2.50
S 0.0001 0.6679 0.3717  1 Ti 2.43, 3 Nb 2.47-2.50
S 0.6678 0.6679 0.1283  1 Ti 2.43, 3 Nb 2.47-2.50
S 0.0001 0.3322 0.1283  1 Ti 2.43, 3 Nb 2.47-2.50
S 0.3322 0.0001 0.8717  1 Ti 2.43, 3 Nb 2.47-2.50
S 0.3321 0.3322 0.3717  1 Ti 2.43, 3 Nb 2.47-2.50
S 0.9999 0.3321 0.8717  1 Ti 2.43, 3 Nb 2.47-2.50
S 0.6679 0.6678 0.8717  1 Ti 2.43, 3 Nb 2.47-2.50
Nb 0.3333 0.6667 0.5017  6 S 2.47-2.50
Nb 0.0000 0.0000 0.0000  6 S 2.47
Nb 0.6667 0.3333 0.0017  6 S 2.47-2.50
Nb 0.0000 0.0000 0.5000  6 S 2.47
Nb 0.3333 0.6667 0.9983  6 S 2.47-2.50
Nb 0.6667 0.3333 0.4983  6 S 2.47-2.50
Ti 0.6667 0.3333 0.7500  6 S 2.43
Ti 0.3333 0.6667 0.2500  6 S 2.43

Output
E_form (uncorrected)	-1.34	eV per atom
uncorrected energy	-8.045	eV/atom
space group	P6_322
magnetization	2.02	μB/cell


[13]
The following is a GGA-PBEsol calculation of a relaxed MgZrCr crystal, from Alexandria.

a b c (Å): 4.5218 4.5218 4.5218
angles (deg): 60.00 60.00 60.00
Closest atoms and distances in Å follow each position.
Atoms (fractional coordinates):
Mg 0.0000 0.0000 0.0000  4 Cr 2.77
Cr 0.2500 0.2500 0.2500  4 Zr 2.77, 4 Mg 2.77
Zr 0.5000 0.5000 0.5000  4 Cr 2.77

Output
formation energy	0.90	eV per atom
uncorrected energy	-6.119	eV/atom
space group	F-43m
magnetization	3.86	μB/cell


[14]
The following is a GGA-PBEsol calculation of a relaxed GaHPd3 crystal, from Alexandria.

a b c (Å): 3.9797 5.4899 5.4899
angles (deg): 90.00 90.00 90.00
Closest atoms and distances in Å follow each position.
Atoms (fractional coordinates):
Pd 0.5000 0.0000 0.0000  2 H 1.99
Pd 0.0000 0.7922 0.2922  2 H 1.97
Pd 0.0000 0.2922 0.2078  2 H 1.97
Pd 0.0000 0.2078 0.7078  2 H 1.97
Pd 0.0000 0.7078 0.7922  2 H 1.97
Pd 0.5000 0.5000 0.5000  2 H 1.99
H 0.0000 0.0000 0.0000  6 Pd 1.97-1.99
H 0.0000 0.5000 0.5000  6 Pd 1.97-1.99
Ga 0.5000 0.5000 0.0000  8 Pd 2.56-2.74
Ga 0.5000 0.0000 0.5000  8 Pd 2.56-2.74

Output
uncorrected energy	-5.399	eV/atom
space group	P4/mbm
magnetization	0.00	μB/cell


[15]
The following is a GGA-PBEsol calculation of a relaxed RbIn2IrC crystal, from Alexandria.

a b c (Å): 4.1738 5.6236 5.6236
angles (deg): 90.00 90.00 90.00
Closest atoms and distances in Å follow each position.
Atoms (fractional coordinates):
Ir 0.5000 0.5000 0.5000  8 In 3.50
Rb 0.0000 0.0000 0.0000  2 C 2.09
In 0.0000 0.5000 0.0000  2 Rb 2.81
In 0.0000 0.0000 0.5000  2 Rb 2.81
C 0.5000 0.0000 0.0000  2 Rb 2.09

Output
formation energy	2.86	eV per atom
uncorrected energy	-2.431	eV/atom
space group	P4/mmm
magnetization	1.71	μB/cell


[16]
The following is a GGA-PBEsol calculation of a relaxed HfNiP3 crystal, from Alexandria.

a b c (Å): 4.3225 4.3225 4.3225
angles (deg): 90.00 90.00 90.00
Closest atoms and distances in Å follow each position.
Atoms (fractional coordinates):
P 0.0000 0.5000 0.0000  2 Ni 2.16
P 0.0000 0.0000 0.5000  2 Ni 2.16
P 0.5000 0.0000 0.0000  2 Ni 2.16
Ni 0.0000 0.0000 0.0000  6 P 2.16
Hf 0.5000 0.5000 0.5000  12 P 3.06

Output
formation energy	0.19	eV per atom
uncorrected energy	-6.622	eV/atom
space group	Pm-3m
magnetization	0.00	μB/cell


[17]
The following is a GGA-PBEsol calculation of a relaxed ZnCo2Tc crystal, from Alexandria.

a b c (Å): 2.5883 2.5883 8.4376
angles (deg): 81.18 81.18 60.00
Closest atoms and distances in Å follow each position.
Atoms (fractional coordinates):
Tc 0.4952 0.4952 0.5145  3 Co 2.53, 6 Tc 2.59, 3 Zn 2.75
Co 0.0037 0.0037 0.9888  9 Co 2.42-2.59, 3 Zn 2.55
Co 0.7468 0.7468 0.7597  9 Co 2.42-2.59, 3 Tc 2.53
Zn 0.2543 0.2543 0.2370  3 Co 2.55, 6 Zn 2.59, 3 Tc 2.75

Output
formation energy	0.12	eV per atom
uncorrected energy	-6.958	eV/atom
space group	R3m
magnetization	2.67	μB/cell


[18]
The following is a GGA-PBEsol calculation of a relaxed MgMnBr2 crystal, from Alexandria.

a b c (Å): 3.7117 4.2814 7.0231
angles (deg): 107.75 105.32 90.00
Closest atoms and distances in Å follow each position.
Atoms (fractional coordinates):
Br 0.6436 0.6436 0.2872  2 Mn 2.62, 2 Mg 2.83
Br 0.3564 0.3564 0.7128  2 Mn 2.62, 2 Mg 2.83
Mg 0.5000 0.0000 0.0000  4 Br 2.83, 4 Mn 2.83
Mn 0.0000 0.5000 0.0000  4 Br 2.62, 4 Mg 2.83

Output
E_form (uncorrected)	-0.28	eV per atom
uncorrected energy	-4.085	eV/atom
space group	Immm
magnetization	3.91	μB/cell


[19]
The following is a GGA-PBEsol calculation of a relaxed EuCrO3 crystal, from Alexandria.

a b c (Å): 3.7909 3.7909 3.7909
angles (deg): 90.00 90.00 90.00
Closest atoms and distances in Å follow each position.
Atoms (fractional coordinates):
O 0.5000 0.0000 0.0000  2 Cr 1.90
O 0.0000 0.5000 0.0000  2 Cr 1.90
O 0.0000 0.0000 0.5000  2 Cr 1.90
Eu 0.5000 0.5000 0.5000  12 O 2.68
Cr 0.0000 0.0000 0.0000  6 O 1.90

Output
E_form (uncorrected)	-2.52	eV per atom
uncorrected energy	-9.829	eV/atom
space group	Pm-3m
magnetization	9.00	μB/cell


[20]
The following is a GGA-PBEsol calculation of a relaxed AgPb3 crystal, from Alexandria.

a b c (Å): 3.4250 3.4250 8.8767
angles (deg): 90.00 90.00 90.00
Closest atoms and distances in Å follow each position.
Atoms (fractional coordinates):
Pb 0.5000 0.5000 0.2139  4 Ag 3.08, 4 Pb 3.42
Pb 0.5000 0.5000 0.7861  4 Ag 3.08, 4 Pb 3.42
Pb 0.0000 0.0000 0.5000  12 Pb 3.42-3.51
Ag 0.0000 0.0000 0.0000  8 Pb 3.08, 4 Ag 3.42

Output
formation energy	0.04	eV per atom
uncorrected energy	-3.786	eV/atom
space group	P4/mmm
magnetization	0.00	μB/cell